Entry 1:
Below is an optimized crystal structure of Ce2Tl3Hg, with properties calculated at the PBE level.

```
data_Ce2Tl3Hg
_chemical_formula_sum 'Ce4 Tl6 Hg2'
_cell_length_a 4.697
_cell_length_b 14.949
_cell_length_c 4.828
_cell_angle_alpha 90.00
_cell_angle_beta 90.00
_cell_angle_gamma 90.00
_space_group_name_H-M_alt 'C m m m'
_space_group_IT_number 65
_space_group_name_Hall '-C 2 2'
loop_
_atom_site_label
_atom_site_type_symbol
_atom_site_fract_x
_atom_site_fract_y
_atom_site_fract_z
Ce1 Ce 0.000 0.156 0.000
Tl1 Tl 0.000 0.000 0.500
Tl2 Tl 0.000 0.325 0.500
Hg1 Hg 0.000 0.500 0.000
```

Calculated values
ΔE_f (eV/atom): -0.211
Size of the total moment (μB per formula unit): 1.89


Entry 2:
Below is an optimized crystal structure of MgAsBr6, with properties calculated at the PBE level.

```
data_MgAsBr6
_chemical_formula_sum 'Mg2 As2 Br12'
_cell_length_a 6.684
_cell_length_b 13.441
_cell_length_c 6.680
_cell_angle_alpha 90.00
_cell_angle_beta 112.66
_cell_angle_gamma 90.00
_space_group_name_H-M_alt 'C 1 2/m 1'
_space_group_IT_number 12
loop_
_space_group_symop_operation_xyz
'x,y,z'
'-x,-y,-z'
'-x,y,-z'
'x,-y,z'
'x+1/2,y+1/2,z'
'-x+1/2,-y+1/2,-z'
'-x+1/2,y+1/2,-z'
'x+1/2,-y+1/2,z'
loop_
_atom_site_label
_atom_site_type_symbol
_atom_site_fract_x
_atom_site_fract_y
_atom_site_fract_z
Mg1 Mg 0.000 0.000 0.000
As1 As 0.000 0.500 0.500
Br1 Br 0.238 0.500 0.264
Br2 Br 0.248 0.137 0.247
```

Calculated values
Size of the total moment (μB per formula unit): 0.50
Uncorrected formation energy (eV/atom): -0.6194


Entry 3:
Below is an optimized crystal structure of ZrBeSeBr2, with properties calculated at the PBE level.

```
data_ZrBeSeBr2
_chemical_formula_sum 'Zr1 Be1 Se1 Br2'
_cell_length_a 5.400
_cell_length_b 5.400
_cell_length_c 5.179
_cell_angle_alpha 90.00
_cell_angle_beta 90.00
_cell_angle_gamma 90.00
_space_group_name_H-M_alt 'P 4/m m m'
_space_group_IT_number 123
_space_group_name_Hall '-P 4 2'
loop_
_atom_site_label
_atom_site_type_symbol
_atom_site_fract_x
_atom_site_fract_y
_atom_site_fract_z
Zr1 Zr 0.000 0.000 0.000
Be1 Be 0.500 0.500 0.500
Se1 Se 0.000 0.000 0.500
Br1 Br 0.000 0.500 0.000
```

Calculated values
Size of the total moment (μB per formula unit): 0.00
Energy above the most stable polymorph in this dataset (meV/atom): 0
Uncorrected formation energy (eV/atom): -0.1552


Entry 4:
Below is an optimized crystal structure of Ti2AgSnH, with properties calculated at the PBE level.

```
data_Ti2AgSnH
_chemical_formula_sum 'Ti2 Ag1 Sn1 H1'
_cell_length_a 5.035
_cell_length_b 5.035
_cell_length_c 4.960
_cell_angle_alpha 90.00
_cell_angle_beta 90.00
_cell_angle_gamma 90.00
_space_group_name_H-M_alt 'P 4/m m m'
_space_group_IT_number 123
_space_group_name_Hall '-P 4 2'
loop_
_atom_site_label
_atom_site_type_symbol
_atom_site_fract_x
_atom_site_fract_y
_atom_site_fract_z
Ti1 Ti 0.000 0.500 0.000
Ag1 Ag 0.000 0.000 0.000
Sn1 Sn 0.000 0.000 0.500
H1 H 0.500 0.500 0.500
```

Calculated values
Size of the total moment (μB per formula unit): 0.00
Energy above the most stable polymorph in this dataset (meV/atom): 1707